No. 1
First-principles (GGA-PBEsol) data for a geometry-optimized Sc2MnAs structure, as listed in Alexandria via LeMat-Bulk. Values from VASP.

Summary:
formation enthalpy at 0 K = -291.6 meV per atom
D(E_F) = 4.52 states/eV per cell
M_tot = 0.00 μB per atom
SG = P4mm
volume = 68.96 Å³ per cell

```
&SYSTEM
  ibrav = 0, nat = 4, ntyp = 3
/
ATOMIC_SPECIES
Sc 44.96 Sc.upf
Mn 54.94 Mn.upf
As 74.92 As.upf
CELL_PARAMETERS angstrom
3.064 0.000 0.000
0.000 3.064 0.000
0.000 0.000 7.343
ATOMIC_POSITIONS angstrom
Sc 0.000 0.000 0.000
Sc 1.532 1.532 2.647
Mn 1.532 1.532 5.608
As 0.000 0.000 4.516
```

***

No. 2
First-principles (GGA-PBEsol) data for a geometry-optimized Ba2NbInO6 structure, as listed in Alexandria via LeMat-Bulk. Values from VASP.

Summary:
D(E_F) = 0.00 states/eV per cell
M_tot = 0.00 μB per atom
SG = Fm-3m
final energy = -0.5550 Ry/atom
volume = 143.79 Å³ per cell

```
&SYSTEM
  ibrav = 0, nat = 10, ntyp = 4
/
ATOMIC_SPECIES
Ba 137.33 Ba.upf
Nb 92.91 Nb.upf
In 114.82 In.upf
O 16.00 O.upf
CELL_PARAMETERS angstrom
0.000 4.158 4.158
4.158 0.000 4.158
4.158 4.158 0.000
ATOMIC_POSITIONS angstrom
Ba 2.079 2.079 2.079
Ba 6.237 6.237 6.237
Nb 0.000 0.000 0.000
In 4.158 4.158 4.158
O 4.158 4.158 2.003
O 4.158 2.003 4.158
O 6.314 4.158 4.158
O 2.003 4.158 4.158
O 4.158 6.314 4.158
O 4.158 4.158 6.314
```

***

No. 3
First-principles (GGA-PBEsol) data for a geometry-optimized BiClO structure, as listed in Alexandria via LeMat-Bulk. Values from VASP.

Summary:
D(E_F) = 0.00 states/eV per cell
M_tot = 0.00 μB per atom
SG = P4/nmm
final energy = -0.3788 Ry/atom
volume = 110.36 Å³ per cell

```
&SYSTEM
  ibrav = 0, nat = 6, ntyp = 3
/
ATOMIC_SPECIES
Bi 208.98 Bi.upf
Cl 35.45 Cl.upf
O 16.00 O.upf
CELL_PARAMETERS angstrom
3.876 0.000 0.000
0.000 3.876 0.000
0.000 0.000 7.347
ATOMIC_POSITIONS angstrom
Bi 0.969 0.969 1.265
Bi 2.907 2.907 6.082
Cl 0.969 0.969 4.769
Cl 2.907 2.907 2.578
O 0.969 2.907 0.000
O 2.907 0.969 0.000
```

***

No. 4
First-principles (GGA-PBEsol) data for a geometry-optimized Nb4Co4Si7 structure, as listed in Alexandria via LeMat-Bulk. Values from VASP.

Summary:
D(E_F) = 17.17 states/eV per cell
M_tot = 0.00 μB per atom
SG = I4/mmm
final energy = -0.6183 Ry/atom
volume = 384.30 Å³ per cell

```
&SYSTEM
  ibrav = 0, nat = 30, ntyp = 3
/
ATOMIC_SPECIES
Nb 92.91 Nb.upf
Co 58.93 Co.upf
Si 28.09 Si.upf
CELL_PARAMETERS angstrom
-6.234 6.234 2.472
6.234 -6.234 2.472
6.234 6.234 -2.472
ATOMIC_POSITIONS angstrom
Nb 2.387 0.000 0.000
Nb 10.081 0.000 0.000
Nb 0.000 2.387 0.000
Nb 4.559 4.559 0.000
Nb 1.675 -1.675 2.472
Nb -1.675 1.675 2.472
Nb 1.675 1.675 2.472
Nb 0.000 10.081 0.000
Co 4.379 -1.855 1.236
Co 8.089 -1.855 1.236
Co 4.379 1.855 1.236
Co 8.089 1.855 1.236
Co -1.855 4.379 1.236
Co 1.855 4.379 1.236
Co -1.855 8.089 1.236
Co 1.855 8.089 1.236
Si 5.054 0.000 0.000
Si 7.414 0.000 0.000
Si 6.234 2.520 0.000
Si 2.603 2.603 0.000
Si 3.631 -3.631 2.472
Si 0.000 0.000 1.240
Si 0.000 5.054 0.000
Si 2.520 6.234 0.000
Si 3.715 0.000 2.472
Si 0.000 7.414 0.000
Si 0.000 0.000 3.704
Si -3.631 3.631 2.472
Si 3.631 3.631 2.472
Si 0.000 3.715 2.472
```

***

No. 5
First-principles (GGA-PBEsol) data for a geometry-optimized HgAs3I structure, as listed in Alexandria via LeMat-Bulk. Values from VASP.

Summary:
D(E_F) = 6.73 states/eV per cell
M_tot = 0.00 μB per atom
SG = Pm-3m
final energy = -0.1843 Ry/atom
volume = 137.51 Å³ per cell

```
&SYSTEM
  ibrav = 0, nat = 5, ntyp = 3
/
ATOMIC_SPECIES
Hg 200.59 Hg.upf
As 74.92 As.upf
I 126.90 I.upf
CELL_PARAMETERS angstrom
5.162 0.000 0.000
0.000 5.162 0.000
0.000 0.000 5.162
ATOMIC_POSITIONS angstrom
Hg 0.000 0.000 0.000
As 0.000 0.000 2.581
As 0.000 2.581 0.000
As 2.581 0.000 0.000
I 2.581 2.581 2.581
```

***

No. 6
First-principles (GGA-PBEsol) data for a geometry-optimized Zr9In14Co7 structure, as listed in Alexandria via LeMat-Bulk. Values from VASP.

Summary:
formation enthalpy at 0 K = -359.6 meV per atom
D(E_F) = 12.76 states/eV per cell
M_tot = 0.05 μB per atom
SG = Fm-3m
volume = 566.48 Å³ per cell

```
&SYSTEM
  ibrav = 0, nat = 30, ntyp = 3
/
ATOMIC_SPECIES
Zr 91.22 Zr.upf
In 114.82 In.upf
Co 58.93 Co.upf
CELL_PARAMETERS angstrom
0.000 6.567 6.567
6.567 0.000 6.567
6.567 6.567 0.000
ATOMIC_POSITIONS angstrom
Zr 0.000 0.000 0.000
Zr 8.160 4.974 4.974
Zr 4.974 4.974 4.974
Zr 8.160 8.160 4.974
Zr 8.160 4.974 8.160
Zr 4.974 8.160 4.974
Zr 4.974 4.974 8.160
Zr 8.160 8.160 8.160
Zr 4.974 8.160 8.160
In 2.245 2.245 0.000
In 4.323 4.323 0.000
In 2.245 0.000 2.245
In 6.567 4.323 2.245
In 4.323 0.000 4.323
In 6.567 2.245 4.323
In 3.284 3.284 3.284
In 0.000 2.245 2.245
In 4.323 6.567 2.245
In 4.323 2.245 6.567
In 0.000 4.323 4.323
In 2.245 6.567 4.323
In 2.245 4.323 6.567
In 9.851 9.851 9.851
Co 6.567 6.567 3.663
Co 6.567 3.663 6.567
Co 9.471 6.567 6.567
Co 6.567 6.567 6.567
Co 3.663 6.567 6.567
Co 6.567 9.471 6.567
Co 6.567 6.567 9.471
```

***

No. 7
First-principles (GGA-PBEsol) data for a geometry-optimized LuFe10Si2 structure, as listed in Alexandria via LeMat-Bulk. Values from VASP.

Summary:
D(E_F) = 10.77 states/eV per cell
M_tot = 1.43 μB per atom
SG = Immm
distance to the lowest polymorph of the same formula = 0 meV per atom
volume = 153.41 Å³ per cell

```
&SYSTEM
  ibrav = 0, nat = 13, ntyp = 3
/
ATOMIC_SPECIES
Lu 174.97 Lu.upf
Fe 55.84 Fe.upf
Si 28.09 Si.upf
CELL_PARAMETERS angstrom
-2.317 4.054 4.084
2.317 -4.054 4.084
2.317 4.054 -4.084
ATOMIC_POSITIONS angstrom
Lu 0.000 0.000 0.000
Fe 1.158 2.027 -2.042
Fe 1.158 -2.027 2.042
Fe 2.317 1.694 0.000
Fe 0.000 2.871 0.000
Fe 0.000 0.000 2.952
Fe -1.158 2.027 2.042
Fe 1.158 2.027 2.042
Fe 0.000 0.000 5.215
Fe 0.000 5.236 0.000
Fe 0.000 2.360 4.084
Si 2.317 0.000 1.903
Si 0.000 4.054 2.181
```

***

No. 8
First-principles (GGA-PBEsol) data for a geometry-optimized Li3InF structure, as listed in Alexandria via LeMat-Bulk. Values from VASP.

Summary:
D(E_F) = 1.67 states/eV per cell
M_tot = 0.00 μB per atom
SG = Pm-3m
final energy = -0.2469 Ry/atom
volume = 71.39 Å³ per cell

```
&SYSTEM
  ibrav = 0, nat = 5, ntyp = 3
/
ATOMIC_SPECIES
Li 6.94 Li.upf
In 114.82 In.upf
F 19.00 F.upf
CELL_PARAMETERS angstrom
4.148 0.000 0.000
0.000 4.148 0.000
0.000 0.000 4.148
ATOMIC_POSITIONS angstrom
Li 0.000 0.000 2.074
Li 0.000 2.074 0.000
Li 2.074 0.000 0.000
In 2.074 2.074 2.074
F 0.000 0.000 0.000
```

***

No. 9
First-principles (GGA-PBEsol) data for a geometry-optimized NaTbSe2 structure, as listed in Alexandria via LeMat-Bulk. Values from VASP.

Summary:
D(E_F) = 0.00 states/eV per cell
M_tot = 0.00 μB per atom
SG = R-3m
final energy = -0.3840 Ry/atom
volume = 100.46 Å³ per cell

```
&SYSTEM
  ibrav = 0, nat = 4, ntyp = 3
/
ATOMIC_SPECIES
Na 22.99 Na.upf
Tb 158.93 Tb.upf
Se 78.96 Se.upf
CELL_PARAMETERS angstrom
2.050 1.184 6.897
-2.050 1.184 6.897
0.000 -2.368 6.897
ATOMIC_POSITIONS angstrom
Na 0.000 0.000 0.000
Tb 0.000 0.000 10.346
Se 0.000 0.000 5.045
Se 0.000 0.000 15.647
```

***

No. 10
First-principles (GGA-PBEsol) data for a geometry-optimized BaMg5 structure, as listed in Alexandria via LeMat-Bulk. Values from VASP.

Summary:
formation enthalpy at 0 K = 8.9 meV per atom
D(E_F) = 4.11 states/eV per cell
M_tot = 0.00 μB per atom
SG = P4/mmm
volume = 162.95 Å³ per cell

```
&SYSTEM
  ibrav = 0, nat = 6, ntyp = 2
/
ATOMIC_SPECIES
Ba 137.33 Ba.upf
Mg 24.30 Mg.upf
CELL_PARAMETERS angstrom
3.633 0.000 0.000
0.000 3.633 0.000
0.000 0.000 12.345
ATOMIC_POSITIONS angstrom
Ba 0.000 0.000 0.000
Mg 0.000 0.000 4.403
Mg 0.000 0.000 7.942
Mg 1.817 1.817 2.653
Mg 1.817 1.817 6.173
Mg 1.817 1.817 9.692
```

***

No. 11
First-principles (GGA-PBEsol) data for a geometry-optimized SmSnPt structure, as listed in Alexandria via LeMat-Bulk. Values from VASP.

Summary:
formation enthalpy at 0 K = -1076.6 meV per atom
D(E_F) = 6.45 states/eV per cell
M_tot = 0.00 μB per atom
SG = Pnma
volume = 263.40 Å³ per cell

```
&SYSTEM
  ibrav = 0, nat = 12, ntyp = 3
/
ATOMIC_SPECIES
Sm 150.36 Sm.upf
Sn 118.71 Sn.upf
Pt 195.08 Pt.upf
CELL_PARAMETERS angstrom
7.253 0.000 0.000
0.000 4.561 0.000
0.000 0.000 7.962
ATOMIC_POSITIONS angstrom
Sm 0.083 1.140 1.553
Sm 3.543 3.421 5.533
Sm 3.710 1.140 2.428
Sm 7.170 3.421 6.409
Sn 1.282 1.140 4.645
Sn 2.345 3.421 0.664
Sn 4.908 1.140 7.297
Sn 5.972 3.421 3.316
Pt 1.548 3.421 3.256
Pt 2.079 1.140 7.236
Pt 5.175 3.421 0.725
Pt 5.705 1.140 4.706
```

***

No. 12
First-principles (GGA-PBEsol) data for a geometry-optimized MgZr3Ni structure, as listed in Alexandria via LeMat-Bulk. Values from VASP.

Summary:
formation enthalpy at 0 K = 225.5 meV per atom
D(E_F) = 8.87 states/eV per cell
M_tot = 0.00 μB per atom
SG = Pm-3m
volume = 113.32 Å³ per cell

```
&SYSTEM
  ibrav = 0, nat = 5, ntyp = 3
/
ATOMIC_SPECIES
Mg 24.30 Mg.upf
Zr 91.22 Zr.upf
Ni 58.69 Ni.upf
CELL_PARAMETERS angstrom
4.839 0.000 0.000
0.000 4.839 0.000
0.000 0.000 4.839
ATOMIC_POSITIONS angstrom
Mg 0.000 0.000 0.000
Zr 0.000 2.420 2.420
Zr 2.420 0.000 2.420
Zr 2.420 2.420 0.000
Ni 2.420 2.420 2.420
```

***

No. 13
First-principles (GGA-PBEsol) data for a geometry-optimized B12Pb6O25 structure, as listed in Alexandria via LeMat-Bulk. Values from VASP.

Summary:
M_tot = 0.05 μB per atom
SG = R-3m
final energy = -0.5562 Ry/atom
volume = 662.19 Å³ per cell

```
&SYSTEM
  ibrav = 0, nat = 43, ntyp = 3
/
ATOMIC_SPECIES
B 10.81 B.upf
Pb 207.20 Pb.upf
O 16.00 O.upf
CELL_PARAMETERS angstrom
5.730 3.308 5.822
-5.730 3.308 5.822
0.000 -6.617 5.822
ATOMIC_POSITIONS angstrom
B -1.330 -4.313 5.822
B -4.400 1.005 5.822
B 0.000 -2.820 4.324
B -2.442 1.410 4.324
B 1.330 -4.313 5.822
B -3.070 3.308 5.822
B -2.442 -1.410 13.142
B 2.442 1.410 4.324
B 4.400 1.005 5.822
B 3.070 3.308 5.822
B 2.442 -1.410 13.142
B 0.000 2.820 13.142
Pb -3.537 -2.042 8.717
Pb 0.000 -4.084 8.749
Pb -3.537 2.042 8.749
Pb 3.537 -2.042 8.717
Pb 0.000 4.084 8.717
Pb 3.537 2.042 8.749
O 0.000 0.000 0.000
O 4.508 0.014 10.581
O -2.267 -3.897 6.884
O 2.267 3.897 10.581
O -4.508 -0.014 6.884
O 0.000 -1.800 3.397
O -1.559 0.900 3.397
O 0.000 -4.439 6.461
O -3.845 2.220 6.461
O -3.845 -2.220 11.004
O -4.508 0.014 10.581
O -2.242 -3.912 10.581
O 1.559 0.900 3.397
O 2.267 -3.897 6.884
O -2.242 3.912 6.884
O -2.267 3.897 10.581
O 2.242 -3.912 10.581
O -1.559 -0.900 14.068
O 4.508 -0.014 6.884
O 2.242 3.912 6.884
O 3.845 2.220 6.461
O 3.845 -2.220 11.004
O 0.000 4.439 11.004
O 1.559 -0.900 14.068
O 0.000 1.800 14.068
```

***

No. 14
First-principles (GGA-PBEsol) data for a geometry-optimized Zr2HgPb structure, as listed in Alexandria via LeMat-Bulk. Values from VASP.

Summary:
formation enthalpy at 0 K = -270.9 meV per atom
D(E_F) = 2.44 states/eV per cell
M_tot = 0.00 μB per atom
SG = P4/mmm
distance to the lowest polymorph of the same formula = 5 meV per atom
volume = 85.96 Å³ per cell

```
&SYSTEM
  ibrav = 0, nat = 4, ntyp = 3
/
ATOMIC_SPECIES
Zr 91.22 Zr.upf
Hg 200.59 Hg.upf
Pb 207.20 Pb.upf
CELL_PARAMETERS angstrom
4.482 0.000 0.000
0.000 4.482 0.000
0.000 0.000 4.279
ATOMIC_POSITIONS angstrom
Zr 0.000 2.241 0.000
Zr 2.241 0.000 0.000
Hg 0.000 0.000 2.139
Pb 2.241 2.241 2.139
```

***

No. 15
First-principles (GGA-PBEsol) data for a geometry-optimized Mg2MnCo structure, as listed in Alexandria via LeMat-Bulk. Values from VASP.

Summary:
formation enthalpy at 0 K = 440.1 meV per atom
D(E_F) = 4.13 states/eV per cell
M_tot = 1.09 μB per atom
SG = R-3m
volume = 59.96 Å³ per cell

```
&SYSTEM
  ibrav = 0, nat = 4, ntyp = 3
/
ATOMIC_SPECIES
Mg 24.30 Mg.upf
Mn 54.94 Mn.upf
Co 58.93 Co.upf
CELL_PARAMETERS angstrom
1.394 0.805 8.909
-1.394 0.805 8.909
0.000 -1.610 8.909
ATOMIC_POSITIONS angstrom
Mg 0.000 0.000 6.555
Mg 0.000 0.000 20.171
Mn 0.000 0.000 0.000
Co 0.000 0.000 13.363
```

***

No. 16
First-principles (GGA-PBEsol) data for a geometry-optimized LaInHg2 structure, as listed in Alexandria via LeMat-Bulk. Values from VASP.

Summary:
formation enthalpy at 0 K = -548.3 meV per atom
D(E_F) = 1.64 states/eV per cell
M_tot = 0.00 μB per atom
SG = I4/mmm
distance to the lowest polymorph of the same formula = 0 meV per atom
volume = 98.95 Å³ per cell

```
&SYSTEM
  ibrav = 0, nat = 4, ntyp = 3
/
ATOMIC_SPECIES
La 138.91 La.upf
In 114.82 In.upf
Hg 200.59 Hg.upf
CELL_PARAMETERS angstrom
-2.599 2.599 3.661
2.599 -2.599 3.661
2.599 2.599 -3.661
ATOMIC_POSITIONS angstrom
La 0.000 0.000 0.000
In 0.000 0.000 3.661
Hg 2.599 0.000 1.831
Hg 0.000 2.599 1.831
```

***

No. 17
First-principles (GGA-PBEsol) data for a geometry-optimized PPbS2F structure, as listed in Alexandria via LeMat-Bulk. Values from VASP.

Summary:
D(E_F) = 9.65 states/eV per cell
M_tot = 0.52 μB per atom
SG = P4/mmm
final energy = -0.2266 Ry/atom
volume = 139.47 Å³ per cell

```
&SYSTEM
  ibrav = 0, nat = 5, ntyp = 4
/
ATOMIC_SPECIES
P 30.97 P.upf
Pb 207.20 Pb.upf
S 32.06 S.upf
F 19.00 F.upf
CELL_PARAMETERS angstrom
5.110 0.000 0.000
0.000 5.110 0.000
0.000 0.000 5.340
ATOMIC_POSITIONS angstrom
P 0.000 0.000 0.000
Pb 0.000 0.000 2.670
S 0.000 2.555 2.670
S 2.555 0.000 2.670
F 2.555 2.555 0.000
```

***

No. 18
First-principles (GGA-PBEsol) data for a geometry-optimized Mg2CdAg structure, as listed in Alexandria via LeMat-Bulk. Values from VASP.

Summary:
formation enthalpy at 0 K = -146.2 meV per atom
D(E_F) = 0.97 states/eV per cell
M_tot = 0.00 μB per atom
SG = Imm2
distance to the lowest polymorph of the same formula = 41 meV per atom
volume = 76.74 Å³ per cell

```
&SYSTEM
  ibrav = 0, nat = 4, ntyp = 3
/
ATOMIC_SPECIES
Mg 24.30 Mg.upf
Cd 112.41 Cd.upf
Ag 107.87 Ag.upf
CELL_PARAMETERS angstrom
-1.726 2.343 4.744
1.726 -2.343 4.744
1.726 2.343 -4.744
ATOMIC_POSITIONS angstrom
Mg 0.000 0.000 0.000
Mg 0.000 2.343 2.169
Cd 0.000 0.000 4.477
Ag 1.726 0.000 2.235
```

***

No. 19
First-principles (GGA-PBEsol) data for a geometry-optimized FeNi2Br structure, as listed in Alexandria via LeMat-Bulk. Values from VASP.

Summary:
D(E_F) = 1.68 states/eV per cell
M_tot = 1.14 μB per atom
SG = P4/mmm
distance to the lowest polymorph of the same formula = 56 meV per atom
volume = 54.01 Å³ per cell

```
&SYSTEM
  ibrav = 0, nat = 4, ntyp = 3
/
ATOMIC_SPECIES
Fe 55.84 Fe.upf
Ni 58.69 Ni.upf
Br 79.90 Br.upf
CELL_PARAMETERS angstrom
3.077 0.000 0.000
0.000 3.077 0.000
0.000 0.000 5.706
ATOMIC_POSITIONS angstrom
Fe 0.000 0.000 0.000
Ni 1.538 1.538 1.197
Ni 1.538 1.538 4.509
Br 0.000 0.000 2.853
```

***

No. 20
First-principles (GGA-PBEsol) data for a geometry-optimized CdCoPt2 structure, as listed in Alexandria via LeMat-Bulk. Values from VASP.

Summary:
formation enthalpy at 0 K = -15.5 meV per atom
D(E_F) = 2.87 states/eV per cell
M_tot = 0.48 μB per atom
SG = P4mm
volume = 58.95 Å³ per cell

```
&SYSTEM
  ibrav = 0, nat = 4, ntyp = 3
/
ATOMIC_SPECIES
Cd 112.41 Cd.upf
Co 58.93 Co.upf
Pt 195.08 Pt.upf
CELL_PARAMETERS angstrom
2.773 0.000 0.000
0.000 2.773 0.000
0.000 0.000 7.665
ATOMIC_POSITIONS angstrom
Cd 0.000 0.000 0.000
Co 1.387 1.387 1.949
Pt 0.000 0.000 3.571
Pt 1.387 1.387 5.581
```